Entry 1:
# CoPS2 | Alexandria via LeMat-Bulk | GGA-PBE | optimized geometry
# Uncorrected formation energy ... 3.5 kJ per mole of atoms
data_CoPS2
_space_group_name_H-M_alt 'R -3 m'
_space_group_IT_number 166
_space_group_name_Hall '-R 3 2"'
_cell_length_a 3.3011
_cell_length_b 3.3011
_cell_length_c 21.2070
_cell_angle_alpha 90.00
_cell_angle_beta 90.00
_cell_angle_gamma 120.00
loop_
_atom_site_label
_atom_site_type_symbol
_atom_site_fract_x
_atom_site_fract_y
_atom_site_fract_z
_atom_site_occupancy
Co1 Co 0.0000 0.0000 0.0000 1
P1 P 0.0000 0.0000 0.5000 1
S1 S 0.0000 0.0000 0.3880 1

***

Entry 2:
# CoP2S | Alexandria via LeMat-Bulk | GGA-PBE | optimized geometry
# Uncorrected formation energy ... 8.0 kJ per mole of atoms
data_CoP2S
_space_group_name_H-M_alt 'I -4 2 d'
_space_group_IT_number 122
_space_group_name_Hall 'I -4 2bw'
_cell_length_a 5.1860
_cell_length_b 5.1860
_cell_length_c 10.3398
_cell_angle_alpha 90.00
_cell_angle_beta 90.00
_cell_angle_gamma 90.00
loop_
_atom_site_label
_atom_site_type_symbol
_atom_site_fract_x
_atom_site_fract_y
_atom_site_fract_z
_atom_site_occupancy
Co1 Co 0.0000 0.0000 0.0000 1
P1 P 0.1984 0.2500 0.1250 1
S1 S 0.0000 0.0000 0.5000 1

***

Entry 3:
# CoPS | Alexandria via LeMat-Bulk | GGA-PBE | optimized geometry
# Uncorrected formation energy ... -9.1 kJ per mole of atoms
data_CoPS
_space_group_name_H-M_alt 'P 3 m 1'
_space_group_IT_number 156
_space_group_name_Hall 'P 3 -2"'
_cell_length_a 3.3480
_cell_length_b 3.3480
_cell_length_c 4.6708
_cell_angle_alpha 90.00
_cell_angle_beta 90.00
_cell_angle_gamma 120.00
loop_
_atom_site_label
_atom_site_type_symbol
_atom_site_fract_x
_atom_site_fract_y
_atom_site_fract_z
_atom_site_occupancy
Co1 Co 0.0000 0.0000 0.0000 1
P1 P 0.3333 0.6667 0.7683 1
S1 S 0.3333 0.6667 0.3134 1